Material: FeCoW2
Method: DFT, PBE
State: relaxed

The energy above the most stable polymorph in this dataset is 5 meV per atom. For the calculated density, the calculation gives 15.1 Mg/m³. Its crystal system is orthorhombic. The total energy comes out at -10.266 eV per atom.

The space group is Cmmm (No. 65) and the conventional cell measures 5.4065, 7.2721 and 2.6968 Å, with angles of 90.00, 90.00 and 90.00 degrees. The distinct sites, in fractional coordinates, are Fe at (0.0000, 0.0000, 0.0000), Co at (0.0000, 0.5000, 0.0000) and W at (0.2500, 0.2500, 0.5000).